[1]
VASP calculation (PBE) on a relaxed structure of MnCoRh.

Lattice parameters (Å, degrees): 2.5901 2.5901 6.2104 90.00 90.00 120.00
Space group P3m1 (No. 156)
One atom of each set of equivalent atoms:
Mn1 0.0000 0.0000 0.0000
Co1 0.3333 0.6667 0.6919
Rh1 0.6667 0.3333 0.3377

Computed properties:
total magnetization	0.517	μB/atom
energy relative to the lowest polymorph listed for this composition	97	meV per atom
N(E_F)	4.1	states/eV/cell
calculated formation energy	31	kJ/mol of formula units


[2]
VASP calculation (PBE) on a relaxed structure of V3RuRh3.

Lattice parameters (Å, degrees): 5.1001 8.5463 9.0904 90.00 93.78 90.00
Space group C2/m (No. 12)
One atom of each set of equivalent atoms:
V1 0.1519 0.0000 0.4152
V2 0.1902 0.2376 0.7579
Ru1 0.0685 0.5000 0.2684
Rh1 0.0000 0.2879 0.5000
Rh2 0.0000 0.3328 0.0000
Rh3 0.0750 0.0000 0.1372

Computed properties:
total magnetization	0.000	μB/atom
N(E_F)	32.5	states/eV/cell
calculated formation energy	-111	kJ/mol of formula units


[3]
VASP calculation (PBE) on a relaxed structure of Cr3TcNi12.

Lattice parameters (Å, degrees): 3.5695 3.5695 14.3160 90.00 90.00 90.00
Space group P4/mmm (No. 123)
One atom of each set of equivalent atoms:
Cr1 0.0000 0.0000 0.0000
Cr2 0.0000 0.0000 0.2460
Tc1 0.0000 0.0000 0.5000
Ni1 0.0000 0.5000 0.1237
Ni2 0.0000 0.5000 0.3735
Ni3 0.5000 0.5000 0.0000
Ni4 0.5000 0.5000 0.2485
Ni5 0.5000 0.5000 0.5000

Computed properties:
total magnetization	0.586	μB/atom
N(E_F)	18.3	states/eV/cell
calculated formation energy	33	kJ/mol of formula units


[4]
VASP calculation (PBE) on a relaxed structure of SrCuPt2.

Lattice parameters (Å, degrees): 2.9823 4.5585 5.7995 90.00 104.81 90.00
Space group Pm (No. 6)
One atom of each set of equivalent atoms:
Sr1 0.0000 0.0000 0.0000
Cu1 0.6442 0.5000 0.2869
Pt1 0.3393 0.5000 0.6811
Pt2 0.7390 0.0000 0.4812

Computed properties:
total magnetization	0.000	μB/atom
N(E_F)	2.0	states/eV/cell
calculated formation energy	-64	kJ/mol of formula units


[5]
VASP calculation (PBE) on a relaxed structure of KLi2Te.

Lattice parameters (Å, degrees): 3.9922 4.4052 15.8773 90.00 90.00 90.00
Space group Imm2 (No. 44)
One atom of each set of equivalent atoms:
K1 0.0000 0.0000 0.0000
Li1 0.0000 0.0000 0.6880
Li2 0.0000 0.5000 0.8111
Te1 0.0000 0.5000 0.3069

Computed properties:
total magnetization	0.000	μB/atom
formation energy (no corrections)	-0.5301	eV per atom
N(E_F)	3.3	states/eV/cell


[6]
VASP calculation (PBE) on a relaxed structure of Pu2Ti2S7.

Lattice parameters (Å, degrees): 7.6022 11.7638 6.5654 90.00 96.58 90.00
Space group C2/m (No. 12)
One atom of each set of equivalent atoms:
Pu1 0.0000 0.1776 0.0000
Ti1 0.2297 0.0000 0.6154
S1 0.0000 0.5000 0.5000
S2 0.0807 0.0000 0.2706
S3 0.2160 0.3280 0.2138

Computed properties:
total magnetization	0.909	μB/atom
formation energy (no corrections)	-1.3381	eV per atom
N(E_F)	33.5	states/eV/cell


[7]
VASP calculation (PBE) on a relaxed structure of SrMg2Tl2Ag2.

Lattice parameters (Å, degrees): 4.9129 4.9129 26.0608 90.00 90.00 120.00
Space group R-3m (No. 166, hexagonal axes)
One atom of each set of equivalent atoms:
Sr1 0.0000 0.0000 0.0000
Mg1 0.0000 0.0000 0.1352
Tl1 0.0000 0.0000 0.4126
Ag1 0.0000 0.0000 0.2423

Computed properties:
total magnetization	0.000	μB/atom
N(E_F)	10.2	states/eV/cell
calculated formation energy	-108	kJ/mol of formula units


[8]
VASP calculation (PBE) on a relaxed structure of PmAlGa2Rh.

Lattice parameters (Å, degrees): 3.9531 4.2985 11.0762 90.00 90.00 90.00
Space group Imm2 (No. 44)
One atom of each set of equivalent atoms:
Pm1 0.0000 0.0000 0.0000
Al1 0.0000 0.0000 0.3793
Ga1 0.0000 0.0000 0.6096
Ga2 0.0000 0.5000 0.2550
Rh1 0.0000 0.5000 0.7430

Computed properties:
total magnetization	0.000	μB/atom
N(E_F)	6.3	states/eV/cell
calculated formation energy	-304	kJ/mol of formula units


[9]
VASP calculation (PBE) on a relaxed structure of Pm4BiTe2Se.

Lattice parameters (Å, degrees): 7.6920 4.4067 7.7150 90.00 109.12 90.00
Space group P2/m (No. 10)
One atom of each set of equivalent atoms:
Pm1 0.2270 0.0000 0.2280
Pm2 0.2367 0.5000 0.7616
Bi1 0.5000 0.0000 0.0000
Te1 0.0000 0.0000 0.5000
Te2 0.5000 0.5000 0.5000
Se1 0.0000 0.5000 0.0000

Computed properties:
total magnetization	0.000	μB/atom
formation energy (no corrections)	-1.3953	eV per atom
N(E_F)	4.0	states/eV/cell


[10]
VASP calculation (PBE) on a relaxed structure of TiFeGeBi2.

Lattice parameters (Å, degrees): 5.3647 5.3647 4.8968 90.00 90.00 90.00
Space group P4/mmm (No. 123)
One atom of each set of equivalent atoms:
Ti1 0.0000 0.0000 0.0000
Fe1 0.5000 0.5000 0.5000
Ge1 0.0000 0.0000 0.5000
Bi1 0.0000 0.5000 0.0000

Computed properties:
total magnetization	0.742	μB/atom
N(E_F)	6.4	states/eV/cell
calculated formation energy	375	kJ/mol of formula units


[11]
VASP calculation (PBE) on a relaxed structure of BaS.

Lattice parameters (Å, degrees): 11.9388 11.9388 5.2274 90.00 90.00 120.00
Space group P6_3/m (No. 176)
One atom of each set of equivalent atoms:
Ba1 0.0767 0.6688 0.2500
S1 0.0774 0.4108 0.2500

Computed properties:
total magnetization	0.000	μB/atom
energy relative to the lowest polymorph listed for this composition	259	meV per atom
formation energy (no corrections)	-1.8221	eV per atom
N(E_F)	0.0	states/eV/cell


[12]
VASP calculation (PBE) on a relaxed structure of Be2TeH.

Lattice parameters (Å, degrees): 4.2555 4.2555 11.7885 90.00 90.00 90.00
Space group I-42d (No. 122)
One atom of each set of equivalent atoms:
Be1 0.1033 0.2500 0.1250
Te1 0.0000 0.0000 0.5000
H1 0.0000 0.0000 0.0000

Computed properties:
total magnetization	0.000	μB/atom
energy relative to the lowest polymorph listed for this composition	0	meV per atom
N(E_F)	5.3	states/eV/cell


[13]
VASP calculation (PBE) on a relaxed structure of LaTiCo4.

Lattice parameters (Å, degrees): 7.0331 7.0331 7.0331 90.00 90.00 90.00
Space group F-43m (No. 216)
One atom of each set of equivalent atoms:
La1 0.0000 0.0000 0.0000
Ti1 0.2500 0.2500 0.7500
Co1 0.1238 0.1238 0.3762

Computed properties:
total magnetization	0.429	μB/atom
N(E_F)	36.3	states/eV/cell
calculated formation energy	-10	kJ/mol of formula units


[14]
VASP calculation (PBE) on a relaxed structure of Tb15CeTm4.

Lattice parameters (Å, degrees): 5.0128 5.0128 25.0874 90.00 90.00 90.00
Space group P4/mmm (No. 123)
One atom of each set of equivalent atoms:
Tb1 0.0000 0.0000 0.0000
Tb2 0.0000 0.0000 0.2016
Tb3 0.0000 0.0000 0.4001
Tb4 0.0000 0.5000 0.1000
Tb5 0.0000 0.5000 0.3000
Tb6 0.0000 0.5000 0.5000
Ce1 0.5000 0.5000 0.0000
Tm1 0.5000 0.5000 0.2000
Tm2 0.5000 0.5000 0.4000

Computed properties:
total magnetization	0.047	μB/atom
N(E_F)	29.1	states/eV/cell
calculated formation energy	56	kJ/mol of formula units


[15]
VASP calculation (PBE) on a relaxed structure of SrCu6Ni6.

Lattice parameters (Å, degrees): 4.7762 8.4211 8.4733 90.00 90.00 90.00
Space group Immm (No. 71)
One atom of each set of equivalent atoms:
Sr1 0.0000 0.0000 0.0000
Cu1 0.0000 0.0000 0.3529
Cu2 0.0000 0.2719 0.5000
Cu3 0.0000 0.3561 0.0000
Ni1 0.0000 0.5000 0.2628
Ni2 0.2500 0.2500 0.2500

Computed properties:
total magnetization	0.000	μB/atom
N(E_F)	21.8	states/eV/cell
calculated formation energy	-2	kJ/mol of formula units


[16]
VASP calculation (PBE) on a relaxed structure of DySc5Co2.

Lattice parameters (Å, degrees): 3.5004 11.7398 16.7092 90.00 90.00 90.00
Space group Cmcm (No. 63)
One atom of each set of equivalent atoms:
Dy1 0.0000 0.1441 0.2500
Sc1 0.0000 0.1237 0.7500
Sc2 0.0000 0.1558 0.0462
Sc3 0.0000 0.4322 0.1018
Co1 0.0000 0.2338 0.6227

Computed properties:
total magnetization	0.000	μB/atom
N(E_F)	38.0	states/eV/cell
calculated formation energy	-90	kJ/mol of formula units


[17]
VASP calculation (PBE) on a relaxed structure of K4Nd3TmO8.

Lattice parameters (Å, degrees): 7.1812 7.1812 18.8896 90.00 90.00 120.00
Space group R-3m (No. 166, hexagonal axes)
One atom of each set of equivalent atoms:
K1 0.0000 0.0000 0.0000
K2 0.0000 0.5000 0.0000
Nd1 0.0000 0.5000 0.5000
Tm1 0.0000 0.0000 0.5000
O1 0.0000 0.0000 0.2307
O2 0.0124 0.5062 0.2293

Computed properties:
total magnetization	0.000	μB/atom
formation energy (no corrections)	-2.6494	eV per atom
N(E_F)	0.0	states/eV/cell


[18]
VASP calculation (PBE) on a relaxed structure of PuCuBr6.

Lattice parameters (Å, degrees): 7.1485 12.6936 7.1611 90.00 115.60 90.00
Space group C2/m (No. 12)
One atom of each set of equivalent atoms:
Pu1 0.0000 0.0000 0.0000
Cu1 0.0000 0.5000 0.5000
Br1 0.2198 0.0000 0.7788
Br2 0.2216 0.3562 0.7236

Computed properties:
total magnetization	0.373	μB/atom
energy relative to the lowest polymorph listed for this composition	0	meV per atom
formation energy (no corrections)	-0.8837	eV per atom
N(E_F)	9.8	states/eV/cell


[19]
VASP calculation (PBE) on a relaxed structure of CoOs2Se.

Lattice parameters (Å, degrees): 2.7343 4.6855 9.2867 90.00 90.00 90.00
Space group Cmmm (No. 65)
One atom of each set of equivalent atoms:
Co1 0.0000 0.0000 0.0000
Os1 0.0000 0.5000 0.2275
Se1 0.0000 0.0000 0.5000

Computed properties:
total magnetization	0.540	μB/atom
formation energy (no corrections)	0.8218	eV per atom
N(E_F)	10.7	states/eV/cell


[20]
VASP calculation (PBE) on a relaxed structure of VIn2Ga.

Lattice parameters (Å, degrees): 5.3711 4.5973 7.4318 90.00 94.83 90.00
Space group Pm (No. 6)
One atom of each set of equivalent atoms:
V1 0.0000 0.0000 0.0000
V2 0.2474 0.0000 0.2826
In1 0.1475 0.0000 0.6521
In2 0.4371 0.5000 0.4751
In3 0.7574 0.0000 0.3302
In4 0.7762 0.5000 0.8207
Ga1 0.1300 0.5000 0.1384
Ga2 0.4901 0.0000 0.9797

Computed properties:
total magnetization	0.002	μB/atom
N(E_F)	4.3	states/eV/cell
calculated formation energy	36	kJ/mol of formula units